Entry 1:
Compound: TlIn2Pt
Source: Alexandria
Functional: meta-GGA SCAN
Structure: single point on PBEsol structure

The structure in POSCAR format:
```
TlIn2Pt
1.0
5.9353 0.0000 0.0000
0.0000 6.7012 0.0000
-0.8068 0.0000 4.3132
Tl In Pt
2 4 2
direct
0.0000 0.0000 0.0000
0.5000 0.5000 0.0000
0.2500 0.2500 0.5000
0.2500 0.7500 0.5000
0.7500 0.2500 0.5000
0.7500 0.7500 0.5000
0.0000 0.5000 0.0000
0.5000 0.0000 0.0000
```

Results
* calculated density: 12179 kg/m³
* formation enthalpy at 0 K: 0.07 eV/atom
* total magnetic moment: 0.00 μB/f.u.
* energy above the most stable polymorph in this dataset: 1.100 eV per formula unit



Entry 2:
Compound: TlIn2Pt
Source: Alexandria
Functional: meta-GGA SCAN
Structure: single point on PBEsol structure

The structure in POSCAR format:
```
TlIn2Pt
1.0
6.9879 0.0000 0.0000
0.0000 6.9879 0.0000
0.0000 0.0000 6.9879
Tl In Pt
4 8 4
direct
0.0000 0.0000 0.0000
0.0000 0.5000 0.5000
0.5000 0.0000 0.5000
0.5000 0.5000 0.0000
0.2500 0.2500 0.2500
0.2500 0.2500 0.7500
0.2500 0.7500 0.2500
0.2500 0.7500 0.7500
0.7500 0.2500 0.2500
0.7500 0.2500 0.7500
0.7500 0.7500 0.2500
0.7500 0.7500 0.7500
0.0000 0.0000 0.5000
0.0000 0.5000 0.0000
0.5000 0.0000 0.0000
0.5000 0.5000 0.5000
```

Results
* calculated density: 12246 kg/m³
* formation enthalpy at 0 K: 0.06 eV/atom
* total magnetic moment: 0.00 μB/f.u.
* energy above the most stable polymorph in this dataset: 1.050 eV per formula unit



Entry 3:
Compound: TlIn2Pt
Source: Alexandria
Functional: meta-GGA SCAN
Structure: single point on PBEsol structure

The structure in POSCAR format:
```
TlIn2Pt
1.0
3.0182 0.0000 0.0000
0.0000 3.4311 0.0000
-0.0577 0.0000 8.6912
Tl In Pt
1 2 1
direct
0.0000 0.0000 0.0000
0.0035 0.5000 0.6933
0.9965 0.5000 0.3067
0.5000 0.0000 0.5000
```

Results
* calculated density: 11607 kg/m³
* formation enthalpy at 0 K: -0.20 eV/atom
* total magnetic moment: 0.00 μB/f.u.
* energy above the most stable polymorph in this dataset: 0.000 eV per formula unit